Arrangement 1

Crystalline RbCdRu3 at its relaxed geometry. Source: Alexandria via LeMat-Bulk, functional PBE.

Results
As for the space group: Pm-3m (221). For the density of states at the Fermi level, the calculation gives 7.169 states/eV per cell. For the total moment, the calculation gives 6.228 μB/f.u. The calculated volume is 134.4 Å³/cell.

Unit cell a=5.1223 b=5.1223 c=5.1223 alpha=90.00 beta=90.00 gamma=90.00
Sites, in units of the cell vectors:
Rb 0.0000 0.0000 0.0000
Cd 0.5000 0.5000 0.5000
Ru 0.0000 0.5000 0.5000
Ru 0.5000 0.0000 0.5000
Ru 0.5000 0.5000 0.0000



Arrangement 2

Crystalline RbCdRu3 at its relaxed geometry. Source: Alexandria via LeMat-Bulk, functional PBE.

Results
As for the space group: Pm-3m (221). For the density of states at the Fermi level, the calculation gives 8.671 states/eV per cell. For the total moment, the calculation gives 4.113 μB/f.u. The calculated volume is 110.5 Å³/cell.

Unit cell a=4.7986 b=4.7986 c=4.7986 alpha=90.00 beta=90.00 gamma=90.00
Sites, in units of the cell vectors:
Rb 0.0000 0.0000 0.0000
Cd 0.5000 0.5000 0.5000
Ru 0.0000 0.0000 0.5000
Ru 0.0000 0.5000 0.0000
Ru 0.5000 0.0000 0.0000



Q: Which of them is the most stable? A: arrangement 1.



Arrangement 1

Crystalline RbCd2S2 at its relaxed geometry. Source: Alexandria via LeMat-Bulk, functional PBE.

Results
As for the space group: P4/mbm (127). For the density of states at the Fermi level, the calculation gives 4.548 states/eV per cell. For the total moment, the calculation gives 0.000 μB/f.u. The calculated volume is 311.5 Å³/cell.

Unit cell a=8.8415 b=8.8415 c=3.9848 alpha=90.00 beta=90.00 gamma=90.00
Sites, in units of the cell vectors:
Rb 0.0000 0.0000 0.0000
Rb 0.5000 0.5000 0.0000
Cd 0.1106 0.3894 0.0000
Cd 0.3894 0.8894 0.0000
Cd 0.6106 0.1106 0.0000
Cd 0.8894 0.6106 0.0000
S 0.2298 0.2702 0.5000
S 0.2702 0.7702 0.5000
S 0.7298 0.2298 0.5000
S 0.7702 0.7298 0.5000



Arrangement 2

Crystalline RbCd2S2 at its relaxed geometry. Source: Alexandria via LeMat-Bulk, functional PBE.

Results
As for the space group: I4/mmm (139). For the density of states at the Fermi level, the calculation gives 2.083 states/eV per cell. For the total moment, the calculation gives 0.000 μB/f.u. The calculated volume is 129.4 Å³/cell.

Unit cell a=6.1639 b=6.1639 c=6.1639 alpha=131.30 beta=131.30 gamma=71.34
Sites, in units of the cell vectors:
Rb 0.0000 0.0000 0.0000
Cd 0.3518 0.3518 0.0000
Cd 0.6482 0.6482 0.0000
S 0.2500 0.7500 0.5000
S 0.7500 0.2500 0.5000



Q: Which of them is the most stable? A: arrangement 2.



Arrangement 1

Crystalline Rb2CdS at its relaxed geometry. Source: Alexandria via LeMat-Bulk, functional PBE.

Results
As for the space group: Fm-3m (225). For the density of states at the Fermi level, the calculation gives 0.000 states/eV per cell. For the total moment, the calculation gives 0.000 μB/f.u. The calculated volume is 140.5 Å³/cell.

Unit cell a=5.8360 b=5.8360 c=5.8360 alpha=60.00 beta=60.00 gamma=60.00
Sites, in units of the cell vectors:
Rb 0.2500 0.2500 0.2500
Rb 0.7500 0.7500 0.7500
Cd 0.0000 0.0000 0.0000
S 0.5000 0.5000 0.5000



Arrangement 2

Crystalline Rb2CdS at its relaxed geometry. Source: Alexandria via LeMat-Bulk, functional PBE.

Results
As for the space group: I-42d (122). For the density of states at the Fermi level, the calculation gives 0.000 states/eV per cell. For the total moment, the calculation gives 0.000 μB/f.u. The calculated volume is 351.0 Å³/cell.

Unit cell a=7.7912 b=7.7912 c=7.7912 alpha=103.63 beta=103.63 gamma=121.92
Sites, in units of the cell vectors:
Rb 0.0577 0.1250 0.4327
Rb 0.3750 0.9423 0.0673
Rb 0.6923 0.6250 0.5673
Rb 0.8750 0.3077 0.9327
Cd 0.2500 0.7500 0.5000
Cd 0.5000 0.5000 0.0000
S 0.0000 0.0000 0.0000
S 0.7500 0.2500 0.5000



Q: Which of them is the most stable? A: arrangement 1.



Arrangement 1

Crystalline RbCd2Sb2 at its relaxed geometry. Source: Alexandria via LeMat-Bulk, functional PBE.

Results
As for the space group: P4/mbm (127). For the density of states at the Fermi level, the calculation gives 3.780 states/eV per cell. For the total moment, the calculation gives 0.000 μB/f.u. The calculated volume is 300.9 Å³/cell.

Unit cell a=9.1981 b=9.1981 c=3.5566 alpha=90.00 beta=90.00 gamma=90.00
Sites, in units of the cell vectors:
Rb 0.0000 0.0000 0.0000
Rb 0.5000 0.5000 0.0000
Cd 0.1436 0.3564 0.5000
Cd 0.3564 0.8564 0.5000
Cd 0.6436 0.1436 0.5000
Cd 0.8564 0.6436 0.5000
Sb 0.1461 0.6461 0.0000
Sb 0.3539 0.1461 0.0000
Sb 0.6461 0.8539 0.0000
Sb 0.8539 0.3539 0.0000



Arrangement 2

Crystalline RbCd2Sb2 at its relaxed geometry. Source: Alexandria via LeMat-Bulk, functional PBE.

Results
As for the space group: P4/nmm (129). For the density of states at the Fermi level, the calculation gives 2.044 states/eV per cell. For the total moment, the calculation gives 0.000 μB/f.u. The calculated volume is 318.5 Å³/cell.

Unit cell a=5.1947 b=5.1947 c=11.8039 alpha=90.00 beta=90.00 gamma=90.00
Sites, in units of the cell vectors:
Rb 0.2500 0.2500 0.2488
Rb 0.7500 0.7500 0.7512
Cd 0.2500 0.2500 0.8716
Cd 0.2500 0.7500 0.5000
Cd 0.7500 0.2500 0.5000
Cd 0.7500 0.7500 0.1284
Sb 0.2500 0.2500 0.6277
Sb 0.2500 0.7500 0.0000
Sb 0.7500 0.2500 0.0000
Sb 0.7500 0.7500 0.3723



Q: Which of them is the most stable? A: arrangement 2.



Arrangement 1

Crystalline RbCd2Sb2 at its relaxed geometry. Source: Alexandria via LeMat-Bulk, functional PBE.

Results
As for the space group: I4/mmm (139). For the density of states at the Fermi level, the calculation gives 1.718 states/eV per cell. For the total moment, the calculation gives 0.000 μB/f.u. The calculated volume is 157.8 Å³/cell.

Unit cell a=7.3058 b=7.3058 c=7.3058 alpha=140.29 beta=140.29 gamma=57.41
Sites, in units of the cell vectors:
Rb 0.0000 0.0000 0.0000
Cd 0.3910 0.3910 0.0000
Cd 0.6090 0.6090 0.0000
Sb 0.2500 0.7500 0.5000
Sb 0.7500 0.2500 0.5000



Arrangement 2

Crystalline RbCd2Sb2 at its relaxed geometry. Source: Alexandria via LeMat-Bulk, functional PBE.

Results
As for the space group: I4/mmm (139). For the density of states at the Fermi level, the calculation gives 2.425 states/eV per cell. For the total moment, the calculation gives 0.000 μB/f.u. The calculated volume is 162.3 Å³/cell.

Unit cell a=7.9085 b=7.9085 c=7.9085 alpha=144.96 beta=144.96 gamma=50.40
Sites, in units of the cell vectors:
Rb 0.0000 0.0000 0.0000
Cd 0.2500 0.7500 0.5000
Cd 0.7500 0.2500 0.5000
Sb 0.3740 0.3740 0.0000
Sb 0.6260 0.6260 0.0000



Q: Which of them is the most stable? A: arrangement 2.